## ErMo6Se8 (GGA-PBEsol)

Data for a geometry-optimized ErMo6Se8 structure.

Values from the calculation:
Space group: R-3
ΔE_f (raw) in eV/f.u.: -11.1
Spin magnetization in Bohr magnetons per cell: 0.0

The structure in POSCAR format:
```
ErMo6Se8
1.0
-0.517 -6.617 0.183
6.606 -0.641 0.176
-0.042 0.058 6.639
Se Mo Er
8 6 1
Direct
0.236 0.236 0.236
0.761 0.369 0.122
0.878 0.239 0.631
0.631 0.878 0.239
0.369 0.122 0.761
0.764 0.764 0.764
0.239 0.631 0.878
0.122 0.761 0.369
0.770 0.576 0.441
0.559 0.230 0.424
0.441 0.770 0.576
0.424 0.559 0.230
0.230 0.424 0.559
0.576 0.441 0.770
0.000 0.000 0.000
```

---

## Mg2AlTl (GGA-PBEsol)

Data for a geometry-optimized Mg2AlTl structure.

Values from the calculation:
Space group: Cm
ΔH_f (0 K) in eV/atom: 0.03
Spin magnetization in Bohr magnetons per cell: 0.0

The structure in POSCAR format:
```
Mg2AlTl
1.0
3.275 0.000 0.000
0.000 5.205 -0.009
-1.638 -0.917 5.066
Al Tl Mg
1 1 2
Direct
0.749 0.226 0.497
0.497 0.512 0.994
0.250 0.741 0.499
0.005 0.021 0.010
```

---

## Sr2RePb (GGA-PBEsol)

Data for a geometry-optimized Sr2RePb structure.

Values from the calculation:
Space group: P4mm
ΔH_f (0 K) in eV/atom: 0.51
Spin magnetization in Bohr magnetons per cell: 0.5

The structure in POSCAR format:
```
Sr2RePb
1.0
-3.252 -1.249 1.031
1.525 -1.580 2.895
-1.365 7.546 4.836
Sr Re Pb
2 1 1
Direct
0.000 0.000 0.921
0.500 0.500 0.323
0.500 0.500 0.694
0.000 0.000 0.562
```

---

## AlCu3 (GGA-PBEsol)

Data for a geometry-optimized AlCu3 structure.

Values from the calculation:
Space group: P2/m
ΔH_f (0 K) in eV/atom: -0.10
Spin magnetization in Bohr magnetons per cell: 0.0

The structure in POSCAR format:
```
AlCu3
1.0
-1.228 -1.921 1.156
3.625 -1.907 0.682
0.633 2.545 3.752
Cu Al
3 1
Direct
0.260 0.500 0.747
0.740 0.500 0.253
0.500 0.000 0.500
0.000 0.000 0.000
```

---

Question: Which of these has the highest spin magnetization?
Answer: Sr2RePb